A relaxed LaTlMo2 crystal, computed with GGA-PBE.

Values from the calculation:
SG = C2/m (12)
energy = -6.725 eV per atom
energy above the most stable polymorph in this dataset = 318 meV per atom
formation energy = 0.51 eV per atom
Fermi-level density of states = 4.0 states/eV per cell

a = 5.397 Å, b = 5.397 Å, c = 5.707 Å
α = 70.51°, β = 70.51°, γ = 39.25°
Fractional positions:
La: 0.750 0.750 0.750
Mo: 0.998 0.998 0.106
Mo: 0.502 0.502 0.394
Tl: 0.250 0.250 0.250